5
Lattice="5.023 0.000 0.000 0.000 5.023 0.000 0.000 0.000 5.084" Properties=species:S:1:pos:R:3 comment="NbSnAuSe2 GGA-PBEsol optimized geometry" formation_energy_uncorrected_mev_per_atom=945.5 mass_density_kg_m3=7334 magnetic_moment_mub_per_atom=0.558 pbc="T T T"
Nb 0.000 0.000 0.000
Sn 2.511 2.511 0.000
Au 2.511 2.511 2.542
Se 0.000 2.511 2.542
Se 2.511 0.000 2.542

---

5
Lattice="4.805 0.000 0.000 0.000 4.805 0.000 0.000 0.000 4.805" Properties=species:S:1:pos:R:3 comment="NbSi3Au GGA-PBEsol optimized geometry" formation_energy_uncorrected_mev_per_atom=900.1 mass_density_kg_m3=5600 magnetic_moment_mub_per_atom=0.000 pbc="T T T"
Nb 0.000 0.000 0.000
Si 0.000 0.000 2.402
Si 0.000 2.402 0.000
Si 2.402 0.000 0.000
Au 2.402 2.402 2.402

---

5
Lattice="5.711 0.000 0.000 0.000 5.711 0.000 0.000 0.000 4.932" Properties=species:S:1:pos:R:3 comment="Sr2NbSiAu GGA-PBEsol optimized geometry" formation_energy_uncorrected_mev_per_atom=1049.2 mass_density_kg_m3=5092 magnetic_moment_mub_per_atom=0.001 pbc="T T T"
Sr 0.000 2.855 0.000
Sr 2.855 0.000 0.000
Nb 0.000 0.000 0.000
Si 2.855 2.855 2.466
Au 0.000 0.000 2.466

---

5
Lattice="5.071 0.000 0.000 0.000 5.071 0.000 0.000 0.000 5.489" Properties=species:S:1:pos:R:3 comment="SrYNb2Au GGA-PBEsol optimized geometry" delta_e_f_ev_per_atom=0.97 mass_density_kg_m3=6579 magnetic_moment_mub_per_atom=0.000 pbc="T T T"
Sr 0.000 0.000 0.000
Y 2.536 2.536 0.000
Nb 0.000 2.536 2.745
Nb 2.536 0.000 2.745
Au 0.000 0.000 2.745